Entry from Alexandria: crystalline Mg3ScAu3 at its relaxed geometry (PBE-GGA).

The structure belongs to space group P2_13 (No. 198); the cell edges are 8.1956, 8.1956 and 8.1956 Å and the angles 90.00°, 90.00° and 90.00°. The asymmetric unit holds Mg at (0.1125, 0.3875, 0.6125), Mg at (0.1723, 0.8277, 0.3277), Mg at (0.1888, 0.1888, 0.1888), Sc at (0.0560, 0.5560, 0.9440) and Au at (0.0005, 0.7113, 0.6094).

As for the energy of formation from the pure elements: -3.95 eV/f.u. As for the volume: 19.66 A^3/atom. Its electronic total energy is -3.5567 eV per atom. The magnetization comes out at 0.0000 μB/atom.